Entry from Alexandria via LeMat-Bulk: an optimized crystal structure of CdAsO2 (GGA-PBE).

- V (Å³/cell) = 60
- total DFT energy (no corrections) (eV per atom) = -4.448
- total magnetization (μB per formula unit) = 0.000

a b c (Å): 7.3335 7.3335 7.3335
angles (deg): 24.55 24.55 24.55
Fractional coordinates of all 4 atoms:
As  0.5000  0.5000  0.5000
O  0.8837  0.8837  0.8837
O  0.1163  0.1163  0.1163
Cd  0.0000  0.0000  0.0000